No. 1
## MgTl3Cd8 (PBE)

Data for a geometry-optimized MgTl3Cd8 structure.

Unit cell a=10.4074 b=10.4074 c=10.4074 alpha=33.44 beta=33.44 gamma=33.44
Positions (direct):
Mg1 0.0000 0.0000 0.0000
Tl1 0.3751 0.3751 0.3751
Tl2 0.4998 0.4998 0.4998
Tl3 0.8762 0.8762 0.8762
Cd1 0.1881 0.1881 0.1881
Cd2 0.4341 0.9371 0.9371
Cd3 0.4394 0.4394 0.9418
Cd4 0.4394 0.9418 0.4394
Cd5 0.6877 0.6877 0.6877
Cd6 0.9371 0.4341 0.9371
Cd7 0.9371 0.9371 0.4341
Cd8 0.9418 0.4394 0.4394

Output
* magnetic moment: 0.000 μB/atom
* E_form: 0.023 eV/atom
* density of states at the Fermi level: 3.4 states/eV/f.u.
* DFT total energy: -15.73 eV/cell
* space group: R3m, No. 160



No. 2
## SmDy2Tl9 (PBE)

Data for a geometry-optimized SmDy2Tl9 structure.

Unit cell a=4.7803 b=4.7803 c=14.3336 alpha=90.00 beta=90.00 gamma=90.00
Positions (direct):
Sm1 0.0000 0.0000 0.0000
Dy1 0.0000 0.0000 0.3339
Dy2 0.0000 0.0000 0.6661
Tl1 0.0000 0.5000 0.1686
Tl2 0.0000 0.5000 0.5000
Tl3 0.0000 0.5000 0.8314
Tl4 0.5000 0.0000 0.1686
Tl5 0.5000 0.0000 0.5000
Tl6 0.5000 0.0000 0.8314
Tl7 0.5000 0.5000 0.0000
Tl8 0.5000 0.5000 0.3340
Tl9 0.5000 0.5000 0.6660

Output
* magnetic moment: 0.000 μB/atom
* E_form: -0.255 eV/atom
* density of states at the Fermi level: 3.3 states/eV/f.u.
* DFT total energy: -38.28 eV/cell
* space group: P4/mmm, No. 123



No. 3
## Co8Te (PBE)

Data for a geometry-optimized Co8Te structure.

Unit cell a=5.7359 b=5.7359 c=5.7359 alpha=95.77 beta=95.77 gamma=143.02
Positions (direct):
Co1 0.0000 0.3460 0.3460
Co2 0.0000 0.6540 0.6540
Co3 0.3207 0.3207 0.6413
Co4 0.3207 0.6793 0.0000
Co5 0.3460 0.0000 0.3460
Co6 0.6540 0.0000 0.6540
Co7 0.6793 0.3207 0.0000
Co8 0.6793 0.6793 0.3587
Te1 0.0000 0.0000 0.0000

Output
* magnetic moment: 1.332 μB/atom
* density of states at the Fermi level: 8.8 states/eV/f.u.
* formation energy (no corrections): 100 meV/atom
* DFT total energy: -59.09 eV/cell
* space group: I4/mmm, No. 139



No. 4
## CuBIr2 (PBE)

Data for a geometry-optimized CuBIr2 structure.

Unit cell a=6.8536 b=6.8536 c=6.8536 alpha=141.07 beta=141.07 gamma=56.24
Positions (direct):
Cu1 0.0000 0.0000 0.0000
Cu2 0.7500 0.2500 0.5000
B1 0.2500 0.7500 0.5000
B2 0.5000 0.5000 0.0000
Ir1 0.2107 0.6250 0.0857
Ir2 0.3750 0.4607 0.5857
Ir3 0.5393 0.1250 0.9143
Ir4 0.8750 0.7893 0.4143

Output
* magnetic moment: 0.000 μB/atom
* E_form: 0.729 eV/atom
* density of states at the Fermi level: 3.1 states/eV/f.u.
* DFT total energy: -51.16 eV/cell
* space group: I-42d, No. 122



No. 5
## La2AgPb2 (PBE)

Data for a geometry-optimized La2AgPb2 structure.

Unit cell a=7.9337 b=7.9337 c=4.8691 alpha=90.00 beta=90.00 gamma=90.00
Positions (direct):
La1 0.1710 0.3290 0.0000
La2 0.3290 0.8290 0.0000
La3 0.6710 0.1710 0.0000
La4 0.8290 0.6710 0.0000
Ag1 0.0000 0.0000 0.5000
Ag2 0.5000 0.5000 0.5000
Pb1 0.1375 0.6375 0.5000
Pb2 0.3625 0.1375 0.5000
Pb3 0.6375 0.8625 0.5000
Pb4 0.8625 0.3625 0.5000

Output
* magnetic moment: 0.000 μB/atom
* E_form: -0.452 eV/atom
* distance to the lowest polymorph of the same formula: 46.2 meV/atom
* density of states at the Fermi level: 4.0 states/eV/f.u.
* DFT total energy: -44.77 eV/cell
* space group: P4/mbm, No. 127



No. 6
## K2Tl3 (PBE)

Data for a geometry-optimized K2Tl3 structure.

Unit cell a=14.3789 b=14.3789 c=14.3789 alpha=15.38 beta=15.38 gamma=15.38
Positions (direct):
K1 0.0959 0.0959 0.0959
K2 0.9041 0.9041 0.9041
Tl1 0.3043 0.3043 0.3043
Tl2 0.5000 0.5000 0.5000
Tl3 0.6957 0.6957 0.6957

Output
* magnetic moment: 0.000 μB/atom
* E_form: 0.016 eV/atom
* density of states at the Fermi level: 5.0 states/eV/f.u.
* DFT total energy: -9.21 eV/cell
* space group: R-3m, No. 166



No. 7
## Ca2TlBr (PBE)

Data for a geometry-optimized Ca2TlBr structure.

Unit cell a=8.7455 b=8.7455 c=8.7455 alpha=27.42 beta=27.42 gamma=27.42
Positions (direct):
Ca1 0.2489 0.2489 0.2489
Ca2 0.7511 0.7511 0.7511
Tl1 0.5000 0.5000 0.5000
Br1 0.0000 0.0000 0.0000

Output
* magnetic moment: 0.000 μB/atom
* distance to the lowest polymorph of the same formula: 19.5 meV/atom
* density of states at the Fermi level: 0.7 states/eV/f.u.
* formation energy (no corrections): -902 meV/atom
* DFT total energy: -11.65 eV/cell
* space group: R-3m, No. 166



No. 8
## TbFe2GeH (PBE)

Data for a geometry-optimized TbFe2GeH structure.

Unit cell a=5.5318 b=5.5318 c=7.3059 alpha=90.00 beta=90.00 gamma=142.15
Positions (direct):
Tb1 0.0425 0.9575 0.7500
Tb2 0.9575 0.0425 0.2500
Fe1 0.3339 0.6661 0.5546
Fe2 0.3339 0.6661 0.9454
Fe3 0.6661 0.3339 0.0546
Fe4 0.6661 0.3339 0.4454
Ge1 0.2372 0.7628 0.2500
Ge2 0.7628 0.2372 0.7500
H1 0.5000 0.5000 0.0000
H2 0.5000 0.5000 0.5000

Output
* magnetic moment: 0.745 μB/atom
* density of states at the Fermi level: 2.5 states/eV/f.u.
* DFT total energy: -62.68 eV/cell
* space group: Cmcm, No. 63



No. 9
## Pr3CdOs (PBE)

Data for a geometry-optimized Pr3CdOs structure.

Unit cell a=9.6764 b=8.8709 c=6.1417 alpha=77.93 beta=63.70 gamma=38.37
Positions (direct):
Pr1 0.1979 0.5831 0.4169
Pr2 0.2011 0.2011 0.7989
Pr3 0.4169 0.8021 0.1979
Pr4 0.5831 0.1979 0.8021
Pr5 0.7989 0.7989 0.2011
Pr6 0.8021 0.4169 0.5831
Cd1 0.2047 0.7953 0.7953
Cd2 0.7953 0.2047 0.2047
Os1 0.2500 0.2500 0.2500
Os2 0.7500 0.7500 0.7500

Output
* magnetic moment: 0.000 μB/atom
* E_form: -0.166 eV/atom
* distance to the lowest polymorph of the same formula: 0.0 meV/atom
* density of states at the Fermi level: 3.7 states/eV/f.u.
* DFT total energy: -54.62 eV/cell
* space group: Fmmm, No. 69



No. 10
## La2TbTe3 (PBE)

Data for a geometry-optimized La2TbTe3 structure.

Unit cell a=14.8424 b=14.1564 c=7.8392 alpha=79.21 beta=69.54 gamma=31.25
Positions (direct):
La1 0.0440 0.0440 0.2060
La2 0.1235 0.1235 0.6265
La3 0.2060 0.2060 0.0440
La4 0.3735 0.3735 0.8765
La5 0.6265 0.6265 0.1235
La6 0.7940 0.7940 0.9560
La7 0.8765 0.8765 0.3735
La8 0.9560 0.9560 0.7940
Tb1 0.2921 0.2921 0.4579
Tb2 0.4579 0.4579 0.2921
Tb3 0.5421 0.5421 0.7079
Tb4 0.7079 0.7079 0.5421
Te1 0.0386 0.5402 0.2220
Te2 0.1380 0.6120 0.6120
Te3 0.2220 0.6993 0.0386
Te4 0.3007 0.7780 0.4598
Te5 0.3880 0.8620 0.8620
Te6 0.4598 0.9614 0.3007
Te7 0.5402 0.0386 0.6993
Te8 0.6120 0.1380 0.1380
Te9 0.6993 0.2220 0.5402
Te10 0.7780 0.3007 0.9614
Te11 0.8620 0.3880 0.3880
Te12 0.9614 0.4598 0.7780

Output
* magnetic moment: 0.000 μB/atom
* distance to the lowest polymorph of the same formula: 0.0 meV/atom
* density of states at the Fermi level: 4.1 states/eV/f.u.
* formation energy (no corrections): -1502 meV/atom
* DFT total energy: -131.68 eV/cell
* space group: Fddd, No. 70



No. 11
## NaBeGaF6 (PBE)

Data for a geometry-optimized NaBeGaF6 structure.

Unit cell a=4.9058 b=4.9058 c=9.9822 alpha=90.00 beta=90.00 gamma=120.00
Positions (direct):
Na1 0.0000 0.0000 0.0000
Na2 0.0000 0.0000 0.5000
Be1 0.3333 0.6667 0.2500
Be2 0.6667 0.3333 0.7500
Ga1 0.3333 0.6667 0.7500
Ga2 0.6667 0.3333 0.2500
F1 0.0212 0.3819 0.1484
F2 0.0212 0.6393 0.3516
F3 0.3607 0.3819 0.3516
F4 0.3607 0.9788 0.1484
F5 0.3819 0.0212 0.6484
F6 0.3819 0.3607 0.8516
F7 0.6181 0.6393 0.1484
F8 0.6181 0.9788 0.3516
F9 0.6393 0.0212 0.8516
F10 0.6393 0.6181 0.6484
F11 0.9788 0.3607 0.6484
F12 0.9788 0.6181 0.8516

Output
* magnetic moment: 0.000 μB/atom
* density of states at the Fermi level: 0.0 states/eV/f.u.
* formation energy (no corrections): -2817 meV/atom
* DFT total energy: -89.31 eV/cell
* space group: P-31c, No. 163



No. 12
## SmHo2Al2 (PBE)

Data for a geometry-optimized SmHo2Al2 structure.

Unit cell a=3.6440 b=5.1869 c=13.5750 alpha=90.00 beta=97.72 gamma=90.00
Positions (direct):
Sm1 0.1436 0.2500 0.2895
Sm2 0.8564 0.7500 0.7105
Ho1 0.0469 0.7500 0.0939
Ho2 0.2326 0.7500 0.4661
Ho3 0.7674 0.2500 0.5339
Ho4 0.9531 0.2500 0.9061
Al1 0.3599 0.2500 0.7187
Al2 0.4522 0.7500 0.9045
Al3 0.5478 0.2500 0.0955
Al4 0.6401 0.7500 0.2813

Output
* magnetic moment: 0.000 μB/atom
* E_form: -0.304 eV/atom
* distance to the lowest polymorph of the same formula: 0.0 meV/atom
* density of states at the Fermi level: 3.4 states/eV/f.u.
* DFT total energy: -45.76 eV/cell
* space group: P2_1/m, No. 11